(1)
Here is BeAgHg after structural relaxation from Alexandria. Energies are from PBE.

DOS(E_F) in states/eV/f.u.: 0.3
Calculated formation energy in eV per atom: 0.2655
SG: No. 107

Lattice parameters (Å, degrees): 5.9257 5.9257 2.9512 75.58 75.58 28.84
Fractional coordinates of all 3 atoms:
Hg  0.6862  0.6863  0.3138
Be  0.3406  0.3405  0.6594
Ag  0.9732  0.9732  0.0268

---

(2)
Here is Sn3AsN after structural relaxation from Alexandria. Energies are from PBE.

DOS(E_F) in states/eV/f.u.: 1.7
SG: No. 221
Raw formation energy in eV per atom: 0.469

Lattice parameters (Å, degrees): 4.8259 4.8259 4.8259 90.00 90.00 90.00
Fractional coordinates of all 5 atoms:
As  0.5000  0.5000  0.5000
Sn  0.0000  0.5000  0.0000
Sn  0.5000  0.0000  0.0000
Sn  0.0000  0.0000  0.5000
N  0.0000  0.0000  0.0000

---

(3)
Here is CuAgN2O after structural relaxation from Alexandria. Energies are from PBE.

DOS(E_F) in states/eV/f.u.: 2.5
SG: No. 123
Raw formation energy in eV per atom: 1.452

Lattice parameters (Å, degrees): 3.7940 3.7940 4.0071 90.00 90.00 90.00
Fractional coordinates of all 5 atoms:
Ag  0.5000  0.5000  0.5000
O  0.0000  0.0000  0.5000
Cu  0.0000  0.0000  0.0000
N  0.5000  0.0000  0.0000
N  0.0000  0.5000  0.0000

---

Q: What is the DOS(E_F) in the third record?
A: 2.5 states/eV/f.u.

---

Q: Which value of DOS(E_F) does entry 1 give?
A: 0.3 states/eV/f.u.

---

Q: Among the records above, which one has the lowest DOS(E_F)?
A: BeAgHg

---

Q: Number 1 is which compound?
A: BeAgHg